No. 1
Computed, not measured: a geometry-optimized DyThReAg structure at the PBE level of DFT.

Cell lengths 5.068, 5.068, 5.068 Å; angles 60.00, 60.00, 60.00 degrees
Atoms (fractional coordinates):
Re 0.500 0.500 0.500
Ag 0.000 0.000 0.000
Th 0.250 0.250 0.250
Dy 0.750 0.750 0.750

Computed properties:
ΔH_f (0 K)   -0.0154 eV/atom



No. 2
Computed, not measured: a geometry-optimized Sm5Si2Sb2 structure at the PBE level of DFT.

Cell lengths 7.999, 8.031, 8.698 Å; angles 90.00, 62.63, 90.00 degrees
Atoms (fractional coordinates):
Sm 0.000 0.000 0.000
Sm 0.500 0.500 0.000
Sm 0.456 0.172 0.744
Sm 0.801 0.828 0.744
Sm 0.301 0.672 0.744
Sm 0.956 0.328 0.744
Sm 0.544 0.828 0.256
Sm 0.199 0.172 0.256
Sm 0.699 0.328 0.256
Sm 0.044 0.672 0.256
Si 0.120 0.380 0.000
Si 0.880 0.620 0.000
Si 0.380 0.880 0.000
Si 0.620 0.120 0.000
Sb 0.207 0.000 0.586
Sb 0.707 0.500 0.586
Sb 0.793 0.000 0.414
Sb 0.293 0.500 0.414

Computed properties:
E_form (uncorrected)   -0.91 eV per atom



No. 3
Computed, not measured: a geometry-optimized Ti3Co2Os structure at the PBE level of DFT.

Cell lengths 3.045, 3.045, 8.864 Å; angles 90.00, 90.00, 90.00 degrees
Atoms (fractional coordinates):
Ti 0.000 0.000 0.000
Ti 0.000 0.000 0.675
Ti 0.000 0.000 0.325
Co 0.500 0.500 0.838
Co 0.500 0.500 0.162
Os 0.500 0.500 0.500

Computed properties:
ΔH_f (0 K)   -0.4845 eV/atom



No. 4
Computed, not measured: a geometry-optimized Sc2ZnSb structure at the PBE level of DFT.

Cell lengths 7.553, 7.553, 6.239 Å; angles 52.75, 52.75, 90.00 degrees
Atoms (fractional coordinates):
Sc 0.608 0.125 0.250
Sc 0.142 0.625 0.250
Sc 0.375 0.392 0.750
Sc 0.875 0.858 0.750
Sb 0.000 0.000 0.000
Sb 0.750 0.250 0.500
Zn 0.500 0.500 0.000
Zn 0.250 0.750 0.500

Computed properties:
E_form (uncorrected)   -0.28 eV per atom



No. 5
Computed, not measured: a geometry-optimized CaCr2Pt structure at the PBE level of DFT.

Cell lengths 4.678, 4.678, 4.678 Å; angles 60.00, 60.00, 60.00 degrees
Each line ends with the local moment (μB).
Atoms (fractional coordinates):
Cr 0.000 0.000 0.000  3.38
Cr 0.250 0.250 0.250  -3.55
Ca 0.500 0.500 0.500  -0.07
Pt 0.750 0.750 0.750  0.11

Computed properties:
ΔH_f (0 K)   0.1278 eV/atom



No. 6
Computed, not measured: a geometry-optimized TaCd2Te structure at the PBE level of DFT.

Cell lengths 5.443, 5.443, 5.443 Å; angles 132.36, 132.36, 69.67 degrees
Atoms (fractional coordinates):
Cd 0.000 0.000 0.000
Cd 0.250 0.750 0.500
Te 0.750 0.250 0.500
Ta 0.500 0.500 0.000

Computed properties:
E_form (uncorrected)   0.42 eV per atom



No. 7
Computed, not measured: a geometry-optimized Ce2U2Se7 structure at the PBE level of DFT.

Cell lengths 4.095, 8.935, 8.935 Å; angles 61.25, 76.75, 76.75 degrees
Each line ends with the local moment (μB).
Atoms (fractional coordinates):
Ce 0.000 0.783 0.217  0.70
Ce 0.500 0.327 0.673  0.77
U 0.742 0.848 0.668  2.28
U 0.258 0.332 0.152  2.28
Se 0.815 0.076 0.293  -0.08
Se 0.857 0.420 0.866  -0.07
Se 0.500 0.012 0.988  -0.07
Se 0.613 0.495 0.280  -0.06
Se 0.387 0.720 0.505  -0.06
Se 0.185 0.707 0.924  -0.08
Se 0.143 0.134 0.580  -0.07

Computed properties:
E_form (uncorrected)   -1.44 eV per atom



No. 8
Computed, not measured: a geometry-optimized Ac2InS structure at the PBE level of DFT.

Cell lengths 4.342, 4.342, 8.681 Å; angles 75.52, 75.52, 60.00 degrees
Atoms (fractional coordinates):
Ac 0.738 0.738 0.785
Ac 0.262 0.262 0.215
S 0.000 0.000 0.000
In 0.500 0.500 0.500

Computed properties:
E_form (uncorrected)   -1.12 eV per atom



No. 9
Computed, not measured: a geometry-optimized Rb3Mg4Pb4 structure at the PBE level of DFT.

Cell lengths 8.056, 8.056, 8.056 Å; angles 109.47, 109.47, 109.47 degrees
Atoms (fractional coordinates):
Rb 0.500 0.500 0.000
Rb 0.500 0.000 0.500
Rb 0.000 0.500 0.500
Mg 0.000 0.256 0.000
Mg 0.000 0.000 0.256
Mg 0.256 0.000 0.000
Mg 0.744 0.744 0.744
Pb 0.000 0.623 0.000
Pb 0.623 0.000 0.000
Pb 0.000 0.000 0.623
Pb 0.377 0.377 0.377

Computed properties:
ΔH_f (0 K)   -0.0604 eV/atom



No. 10
Computed, not measured: a geometry-optimized VNiBi3 structure at the PBE level of DFT.

Cell lengths 5.141, 5.141, 5.141 Å; angles 90.00, 90.00, 90.00 degrees
Each line ends with the local moment (μB).
Atoms (fractional coordinates):
Ni 0.000 0.000 0.000  -0.14
Bi 0.000 0.500 0.000  -0.05
Bi 0.000 0.000 0.500  -0.05
Bi 0.500 0.000 0.000  -0.05
V 0.500 0.500 0.500  2.98

Computed properties:
ΔH_f (0 K)   0.6463 eV/atom



No. 11
Computed, not measured: a geometry-optimized AgTeRh2 structure at the PBE level of DFT.

Cell lengths 7.274, 7.274, 5.867 Å; angles 51.69, 51.69, 90.00 degrees
Atoms (fractional coordinates):
Te 0.000 0.000 0.000
Te 0.750 0.250 0.500
Rh 0.655 0.125 0.250
Rh 0.095 0.625 0.250
Rh 0.375 0.345 0.750
Rh 0.875 0.905 0.750
Ag 0.500 0.500 0.000
Ag 0.250 0.750 0.500

Computed properties:
E_form (uncorrected)   0.22 eV per atom



No. 12
Computed, not measured: a geometry-optimized RbLa2Y structure at the PBE level of DFT.

Cell lengths 6.141, 6.141, 6.141 Å; angles 60.00, 60.00, 60.00 degrees
Atoms (fractional coordinates):
Y 0.500 0.500 0.500
Rb 0.000 0.000 0.000
La 0.250 0.250 0.250
La 0.750 0.750 0.750

Computed properties:
ΔH_f (0 K)   0.5577 eV/atom



The following electronic total energy values (in eV per atom) correspond, in order, to the records above: -6.846; -5.656; -8.672; -4.797; -6.695; -3.784; -6.785; -4.889; -2.253; -4.662; -4.949; -3.764.